# 1
Below is a relaxed structure of MgCoNO2, with properties calculated at the PBE+U level.

Lattice parameters (Å, degrees): 3.857 3.857 3.917 90.00 90.00 90.00
Each line ends with the local moment (μB).
Fractional positions:
Co 0.500 0.500 0.500  2.79
O 0.500 0.000 0.000  -0.12
O 0.000 0.500 0.000  -0.12
Mg 0.000 0.000 0.000  -0.01
N 0.000 0.000 0.500  -0.11

Properties
As for the crystal system: tetragonal.


# 2
Below is a relaxed structure of Ba2W2F11, with properties calculated at the PBE+U level.

Lattice parameters (Å, degrees): 8.466 8.466 13.885 90.00 90.00 120.00
Each line ends with the local moment (μB).
Fractional positions:
F 0.808 0.170 0.192  0.02
F 0.362 0.192 0.526  0.02
F 0.943 0.247 0.682  0.00
F 0.691 0.840 0.749  0.03
F 0.387 0.678 0.172  0.03
F 0.879 0.517 0.502  0.03
F 0.433 0.111 0.320  0.01
F 0.519 0.618 0.950  0.03
F 0.145 0.117 0.262  0.01
F 0.089 0.987 0.773  0.02
F 0.592 0.963 0.033  0.03
F 0.372 0.408 0.367  0.03
F 0.483 0.362 0.169  0.03
F 0.679 0.567 0.653  0.01
F 0.456 0.332 0.802  0.00
F 0.668 0.124 0.469  0.00
F 0.753 0.697 0.349  0.00
F 0.303 0.057 0.016  0.00
F 0.013 0.102 0.440  0.02
F 0.291 0.613 0.506  0.03
F 0.898 0.911 0.106  0.02
F 0.322 0.709 0.839  0.03
F 0.889 0.321 0.986  0.01
F 0.830 0.638 0.859  0.02
F 0.883 0.028 0.928  0.01
F 0.876 0.544 0.136  0.00
F 0.099 0.481 0.284  0.03
F 0.160 0.852 0.416  0.03
F 0.037 0.628 0.700  0.03
F 0.148 0.309 0.083  0.03
F 0.972 0.855 0.595  0.01
F 0.638 0.121 0.835  0.03
F 0.382 0.901 0.617  0.03
W 0.871 0.117 0.066  1.93
W 0.247 0.129 0.399  1.93
W 0.587 0.868 0.886  2.80
W 0.132 0.719 0.553  2.80
W 0.883 0.753 0.733  1.93
W 0.281 0.413 0.220  2.80
Ba 0.649 0.821 0.478  0.00
Ba 0.179 0.829 0.145  0.00
Ba 0.640 0.229 0.650  0.00
Ba 0.171 0.351 0.812  0.00
Ba 0.589 0.360 0.983  0.00
Ba 0.771 0.411 0.317  0.00

Properties
As for the crystal system: trigonal.


| no. | E (eV per atom) |
| --- | --- |
| 1 | -4.55 |
| 2 | -5.63 |